Rb2CaCdBr6 | PBE | relaxed

Calculated values
Crystal system ... monoclinic
ΔE to the lowest computed polymorph ... 0.0 meV per atom
Uncorrected formation energy ... -1.5710 eV per atom

Unit cell a=7.8098 b=8.0101 c=13.6204 alpha=90.00 beta=124.78 gamma=90.00
Last column: nearest neighbours and their distance in Å.
Space group P2_1/c (No. 14)
Asymmetric unit:
Rb1 0.2320 0.0579 0.2490 [4 per cell]  8 Br 3.50-3.87
Ca1 0.5000 0.0000 0.0000 [2 per cell]  6 Br 2.90-2.92
Cd1 0.0000 0.0000 0.5000 [2 per cell]  6 Br 2.81-2.83
Br1 0.1630 0.2108 0.9618 [4 per cell]  1 Cd 2.83, 1 Ca 2.91
Br2 0.2528 0.7028 0.9621 [4 per cell]  1 Cd 2.82, 1 Ca 2.92
Br3 0.3205 0.0110 0.7457 [4 per cell]  1 Cd 2.81, 1 Ca 2.90

=====

TiOsRhS2 | PBE | relaxed

Calculated values
Crystal system ... tetragonal
Uncorrected formation energy ... 0.7571 eV per atom

Unit cell a=4.5174 b=4.5174 c=4.7798 alpha=90.00 beta=90.00 gamma=90.00
Last column: nearest neighbours and their distance in Å.
Space group P4/mmm (No. 123)
Asymmetric unit:
Ti1 0.0000 0.0000 0.0000 [1 per cell]  4 Rh 3.19, 8 S 3.29
Os1 0.5000 0.5000 0.5000 [1 per cell]  4 S 2.26, 2 Rh 2.39
Rh1 0.5000 0.5000 0.0000 [1 per cell]  2 Os 2.39
S1 0.0000 0.5000 0.5000 [2 per cell]  2 Os 2.26

=====

Li2AgOs | PBE | relaxed

Calculated values
Crystal system ... tetragonal
DFT formation energy ... 0.52 eV per atom
ΔE to the lowest computed polymorph ... 437.6 meV per atom

Unit cell a=3.9648 b=3.9648 c=3.5680 alpha=90.00 beta=90.00 gamma=90.00
Last column: nearest neighbours and their distance in Å.
Space group P4/mmm (No. 123)
Asymmetric unit:
Li1 0.0000 0.5000 0.0000 [2 per cell]  4 Os 2.67, 4 Ag 2.67, 4 Li 2.80
Ag1 0.0000 0.0000 0.5000 [1 per cell]  8 Li 2.67, 4 Os 2.80
Os1 0.5000 0.5000 0.5000 [1 per cell]  8 Li 2.67, 4 Ag 2.80

=====

Ac5PPb2N | PBE | relaxed

Calculated values
Crystal system ... orthorhombic
Uncorrected formation energy ... -0.8584 eV per atom

Unit cell a=4.6379 b=19.5365 c=13.8449 alpha=90.00 beta=90.00 gamma=90.00
Last column: nearest neighbours and their distance in Å.
Space group Cmc2_1 (No. 36)
Asymmetric unit:
Ac1 0.0000 0.0003 0.0000 [4 per cell]  1 N 2.37
Ac2 0.0000 0.1486 0.2242 [4 per cell]  1 P 2.98
Ac3 0.0000 0.1787 0.5945 [4 per cell]  1 N 2.62
Ac4 0.0000 0.2039 0.8880 [4 per cell]  2 P 3.11, 2 Pb 3.47
Ac5 0.0000 0.4586 0.2320 [4 per cell]  2 N 2.56
P1 0.0000 0.3009 0.2388 [4 per cell]  6 Ac 2.98-3.11
Pb1 0.0000 0.3716 0.5410 [4 per cell]  7 Ac 3.46-3.84
Pb2 0.0000 0.3838 0.9058 [4 per cell]  7 Ac 3.48-3.70
N1 0.0000 0.0515 0.6547 [4 per cell]  4 Ac 2.37-2.62

=====

TbTm2CdAu4 | PBE | relaxed

Calculated values
Crystal system ... trigonal
DFT formation energy ... -0.77 eV per atom

Unit cell a=4.9816 b=4.9816 c=24.6332 alpha=90.00 beta=90.00 gamma=120.00
Last column: nearest neighbours and their distance in Å.
Space group R-3m (No. 166, hexagonal axes)
Asymmetric unit:
Tb1 0.0000 0.0000 0.0000 [3 per cell]  8 Au 2.98-3.00
Tm1 0.0000 0.0000 0.2432 [6 per cell]  8 Au 2.98-3.18
Cd1 0.0000 0.0000 0.5000 [3 per cell]  8 Au 3.09-3.24, 6 Tm 3.44
Au1 0.0000 0.0000 0.1210 [6 per cell]  4 Tm 2.98-3.01, 1 Tb 2.98, 3 Cd 3.09
Au2 0.0000 0.0000 0.3686 [6 per cell]  3 Tb 3.00, 4 Tm 3.09-3.18, 1 Cd 3.24, 3 Au 3.36

=====

HoErGaIr | PBE | relaxed

Calculated values
Crystal system ... cubic
DFT formation energy ... -0.71 eV per atom
ΔE to the lowest computed polymorph ... 55.8 meV per atom

Unit cell a=6.9609 b=6.9609 c=6.9609 alpha=90.00 beta=90.00 gamma=90.00
Last column: nearest neighbours and their distance in Å.
Space group F-43m (No. 216)
Asymmetric unit:
Ho1 0.0000 0.0000 0.0000 [4 per cell]  4 Ir 3.01, 4 Ga 3.01
Er1 0.0000 0.0000 0.5000 [4 per cell]  4 Ir 3.01, 4 Ga 3.01
Ga1 0.2500 0.2500 0.7500 [4 per cell]  4 Ho 3.01, 4 Er 3.01
Ir1 0.2500 0.2500 0.2500 [4 per cell]  4 Ho 3.01, 4 Er 3.01

=====

MgBe2B | PBE | relaxed

Calculated values
Crystal system ... cubic
DFT formation energy ... 0.82 eV per atom
ΔE to the lowest computed polymorph ... 803.3 meV per atom

Unit cell a=5.4373 b=5.4373 c=5.4373 alpha=90.00 beta=90.00 gamma=90.00
Last column: nearest neighbours and their distance in Å.
Space group Fm-3m (No. 225)
Asymmetric unit:
Mg1 0.0000 0.0000 0.0000 [4 per cell]  8 Be 2.35
Be1 0.2500 0.2500 0.2500 [8 per cell]  4 B 2.35, 4 Mg 2.35
B1 0.0000 0.0000 0.5000 [4 per cell]  8 Be 2.35

=====

AlV2Re | PBE | relaxed

Calculated values
Crystal system ... tetragonal
DFT formation energy ... -0.24 eV per atom

Unit cell a=4.1691 b=4.1691 c=3.2301 alpha=90.00 beta=90.00 gamma=90.00
Last column: nearest neighbours and their distance in Å.
Space group P4/mmm (No. 123)
Asymmetric unit:
Al1 0.0000 0.0000 0.0000 [1 per cell]  8 V 2.64, 4 Re 2.95
V1 0.0000 0.5000 0.5000 [2 per cell]  4 Re 2.64, 4 Al 2.64, 4 V 2.95
Re1 0.5000 0.5000 0.0000 [1 per cell]  8 V 2.64, 4 Al 2.95

=====

Pr3H12Ir5 | PBE | relaxed

Calculated values
Crystal system ... cubic

Unit cell a=11.9630 b=11.9630 c=11.9630 alpha=90.00 beta=90.00 gamma=90.00
Last column: nearest neighbours and their distance in Å.
Space group Ia-3d (No. 230)
Asymmetric unit:
Pr1 0.0000 0.2500 0.1250 [24 per cell]  8 H 2.49-2.50
H1 0.0435 0.0467 0.6358 [96 per cell]  2 Ir 1.77-1.80
Ir1 0.0000 0.0000 0.0000 [16 per cell]  6 H 1.80
Ir2 0.0000 0.2500 0.3750 [24 per cell]  4 H 1.77

=====

Tc3Ge2As2 | PBE | relaxed

Calculated values
Crystal system ... monoclinic
DFT formation energy ... -0.02 eV per atom

Unit cell a=9.6777 b=4.0684 c=6.0824 alpha=90.00 beta=106.16 gamma=90.00
Last column: nearest neighbours and their distance in Å.
Space group C2/m (No. 12)
Asymmetric unit:
Tc1 0.0000 0.0000 0.0000 [2 per cell]  2 Ge 2.50, 4 As 2.67
Tc2 0.2464 0.0000 0.8228 [4 per cell]  3 As 2.51-2.55, 3 Ge 2.52-2.65
Ge1 0.1719 0.0000 0.3914 [4 per cell]  4 Tc 2.50-2.65, 2 Ge 2.66
As1 0.0824 0.5000 0.7820 [4 per cell]  5 Tc 2.51-2.67

=====

ZnCdRu2 | PBE | relaxed

Calculated values
Crystal system ... monoclinic
DFT formation energy ... 0.31 eV per atom

Unit cell a=2.7838 b=4.4376 c=5.1182 alpha=90.00 beta=99.03 gamma=90.00
Last column: nearest neighbours and their distance in Å.
Space group P2/m (No. 10)
Asymmetric unit:
Zn1 0.0000 0.0000 0.0000 [1 per cell]  4 Ru 2.60, 2 Cd 2.71, 2 Zn 2.78
Cd1 0.5000 0.0000 0.5000 [1 per cell]  2 Zn 2.71, 2 Cd 2.78, 4 Ru 2.83
Ru1 0.2047 0.5000 0.7774 [2 per cell]  5 Ru 2.59-2.89, 2 Zn 2.60, 2 Cd 2.83

=====

DyTcRuW | PBE | relaxed

Calculated values
Crystal system ... cubic
DFT formation energy ... -0.02 eV per atom

Unit cell a=6.4790 b=6.4790 c=6.4790 alpha=90.00 beta=90.00 gamma=90.00
Last column: nearest neighbours and their distance in Å.
Space group F-43m (No. 216)
Asymmetric unit:
Dy1 0.0000 0.0000 0.0000 [4 per cell]  4 Tc 2.81, 4 Ru 2.81
Tc1 0.2500 0.2500 0.7500 [4 per cell]  4 W 2.81, 4 Dy 2.81
Ru1 0.2500 0.2500 0.2500 [4 per cell]  4 W 2.81, 4 Dy 2.81
W1 0.0000 0.0000 0.5000 [4 per cell]  4 Ru 2.81, 4 Tc 2.81

=====

Ti3GaTe | PBE | relaxed

Calculated values
Crystal system ... cubic
ΔE to the lowest computed polymorph ... 337.5 meV per atom
Uncorrected formation energy ... 0.7070 eV per atom

Unit cell a=4.9899 b=4.9899 c=4.9899 alpha=90.00 beta=90.00 gamma=90.00
Last column: nearest neighbours and their distance in Å.
Space group Pm-3m (No. 221)
Asymmetric unit:
Ti1 0.0000 0.0000 0.5000 [3 per cell]  2 Te 2.49
Ga1 0.5000 0.5000 0.5000 [1 per cell]  12 Ti 3.53
Te1 0.0000 0.0000 0.0000 [1 per cell]  6 Ti 2.49

=====

ScFeSeN2 | PBE | relaxed

Calculated values
Crystal system ... tetragonal
ΔE to the lowest computed polymorph ... 719.1 meV per atom
Uncorrected formation energy ... 0.8361 eV per atom

Unit cell a=4.0072 b=4.0072 c=5.5506 alpha=90.00 beta=90.00 gamma=90.00
Last column: nearest neighbours and their distance in Å.
Space group P4/mmm (No. 123)
Asymmetric unit:
Sc1 0.0000 0.0000 0.0000 [1 per cell]  4 N 2.00
Fe1 0.5000 0.5000 0.5000 [1 per cell]  4 Se 2.83
Se1 0.0000 0.0000 0.5000 [1 per cell]  2 Sc 2.78, 4 Fe 2.83
N1 0.0000 0.5000 0.0000 [2 per cell]  2 Sc 2.00

=====

YCr2Pt | PBE | relaxed

Calculated values
Crystal system ... tetragonal
DFT formation energy ... 0.04 eV per atom
ΔE to the lowest computed polymorph ... 139.0 meV per atom

Unit cell a=4.1177 b=4.1177 c=4.3495 alpha=90.00 beta=90.00 gamma=90.00
Last column: nearest neighbours and their distance in Å.
Space group P4/mmm (No. 123)
Asymmetric unit:
Y1 0.0000 0.0000 0.0000 [1 per cell]  4 Pt 2.91, 8 Cr 2.99
Cr1 0.0000 0.5000 0.5000 [2 per cell]  4 Cr 2.91, 4 Pt 2.99, 4 Y 2.99
Pt1 0.5000 0.5000 0.0000 [1 per cell]  4 Y 2.91, 8 Cr 2.99

=====

SmBiS | PBE | relaxed

Calculated values
Crystal system ... tetragonal
Uncorrected formation energy ... -1.0942 eV per atom

Unit cell a=3.6813 b=3.6813 c=12.1863 alpha=90.00 beta=90.00 gamma=90.00
Last column: nearest neighbours and their distance in Å.
Space group I4mm (No. 107)
Asymmetric unit:
Sm1 0.0000 0.0000 0.0000 [2 per cell]  4 S 2.78
Bi1 0.0000 0.0000 0.2979 [2 per cell]  5 S 3.43-3.72, 5 Sm 3.58-3.63, 4 Bi 3.68
S1 0.0000 0.0000 0.5792 [2 per cell]  4 Sm 2.78

=====

Rb2SrH2I2 | PBE | relaxed

Calculated values
Crystal system ... tetragonal

Unit cell a=5.0403 b=5.0403 c=19.1727 alpha=90.00 beta=90.00 gamma=90.00
Last column: nearest neighbours and their distance in Å.
Space group I4/mmm (No. 139)
Asymmetric unit:
Rb1 0.0000 0.0000 0.1271 [4 per cell]  4 H 3.51, 5 I 3.66-3.87
Sr1 0.0000 0.0000 0.5000 [2 per cell]  4 H 2.52
H1 0.0000 0.5000 0.0000 [4 per cell]  2 Sr 2.52
I1 0.0000 0.0000 0.3292 [4 per cell]  1 Sr 3.28, 4 Rb 3.66

=====

ErTmAlCd | PBE | relaxed

Calculated values
Crystal system ... tetragonal
DFT formation energy ... -0.36 eV per atom
ΔE to the lowest computed polymorph ... 0.0 meV per atom

Unit cell a=3.5984 b=3.5984 c=7.4134 alpha=90.00 beta=90.00 gamma=90.00
Last column: nearest neighbours and their distance in Å.
Space group P4mm (No. 99)
Asymmetric unit:
Er1 0.0000 0.0000 0.0000 [1 per cell]  4 Al 3.10, 4 Cd 3.21
Tm1 0.0000 0.0000 0.4769 [1 per cell]  4 Al 3.09, 4 Cd 3.19
Al1 0.5000 0.5000 0.2399 [1 per cell]  4 Tm 3.09, 4 Er 3.10
Cd1 0.5000 0.5000 0.7360 [1 per cell]  4 Tm 3.19, 4 Er 3.21

=====

Sr3Pr3ScTe8 | PBE | relaxed

Calculated values
Crystal system ... trigonal
Uncorrected formation energy ... -1.5128 eV per atom

Unit cell a=9.0465 b=9.0465 c=23.1662 alpha=90.00 beta=90.00 gamma=120.00
Last column: nearest neighbours and their distance in Å.
Space group R-3m (No. 166, hexagonal axes)
Asymmetric unit:
Sr1 0.0000 0.5000 0.0000 [9 per cell]  6 Te 3.28-3.30
Pr1 0.0000 0.5000 0.5000 [9 per cell]  6 Te 3.21-3.22
Sc1 0.0000 0.0000 0.5000 [3 per cell]  6 Te 3.04
Te1 0.0000 0.0000 0.2477 [6 per cell]  3 Pr 3.22, 3 Sr 3.28
Te2 0.0174 0.5087 0.2425 [18 per cell]  1 Sc 3.04, 2 Pr 3.21, 2 Sr 3.30

=====

ScGeIrRh | PBE | relaxed

Calculated values
Crystal system ... cubic
DFT formation energy ... -0.72 eV per atom
ΔE to the lowest computed polymorph ... 61.5 meV per atom

Unit cell a=6.2753 b=6.2753 c=6.2753 alpha=90.00 beta=90.00 gamma=90.00
Last column: nearest neighbours and their distance in Å.
Space group F-43m (No. 216)
Asymmetric unit:
Sc1 0.0000 0.0000 0.0000 [4 per cell]  4 Rh 2.72, 4 Ir 2.72
Ge1 0.0000 0.0000 0.5000 [4 per cell]  4 Ir 2.72, 4 Rh 2.72
Ir1 0.2500 0.2500 0.7500 [4 per cell]  4 Ge 2.72, 4 Sc 2.72
Rh1 0.2500 0.2500 0.2500 [4 per cell]  4 Ge 2.72, 4 Sc 2.72

=====

D(E_F) for every record listed, in sequence, given in states/eV per atom: 0.00; 1.93; 0.78; 0.67; 0.56; 0.56; 0.50; 0.75; 0.37; 0.61; 1.16; 0.27; 1.11; 0.95; 0.95; 0.61; 0.00; 0.58; 0.36; 0.92.
Final energy for every record listed, in sequence, given in eV per atom: -3.06; -6.19; -3.96; -5.49; -4.22; -5.97; -3.11; -8.84; -5.12; -7.11; -4.88; -9.32; -5.26; -6.15; -7.90; -5.34; -2.89; -3.78; -4.90; -7.51.